PmPr2Ga2Ag2: optimized geometry, PBE-GGA.

Geometry as POSCAR:
```
PmPr2Ga2Ag2
1.0
2.342 1.352 9.278
-2.342 1.352 9.278
0.000 -2.705 9.278
Pm Pr Ga Ag
1 2 2 2
Cartesian
0.000 0.000 0.000
0.000 0.000 3.495
0.000 0.000 24.338
0.000 0.000 7.308
0.000 0.000 20.525
0.000 0.000 11.014
0.000 0.000 16.819
```

Computed properties:
The value obtained for the total energy is -4.10 eV/atom. For the total magnetic moment, the calculation gives 0.00 μB/f.u. As for the formation energy from the elements: -0.3759 eV/atom. Its space group is R-3m.

***

PmPrGaAg: optimized geometry, PBE-GGA.

Geometry as POSCAR:
```
PmPrGaAg
1.0
0.000 3.736 3.736
3.736 0.000 3.736
3.736 3.736 0.000
Pm Pr Ga Ag
1 1 1 1
Cartesian
0.000 0.000 0.000
3.736 3.736 3.736
1.868 1.868 1.868
5.605 5.605 5.605
```

Computed properties:
The value obtained for the total energy is -4.26 eV/atom. For the total magnetic moment, the calculation gives 0.06 μB/f.u. As for the formation energy from the elements: -0.4036 eV/atom. Its space group is F-43m.

***

Pm2PrGa2Ag2: optimized geometry, PBE-GGA.

Geometry as POSCAR:
```
Pm2PrGa2Ag2
1.0
2.347 1.355 9.193
-2.347 1.355 9.193
0.000 -2.710 9.193
Pm Pr Ga Ag
2 1 2 2
Cartesian
0.000 0.000 3.482
0.000 0.000 24.096
0.000 0.000 0.000
0.000 0.000 7.126
0.000 0.000 20.452
0.000 0.000 11.055
0.000 0.000 16.523
```

Computed properties:
The value obtained for the total energy is -4.10 eV/atom. For the total magnetic moment, the calculation gives 0.00 μB/f.u. As for the formation energy from the elements: -0.3774 eV/atom. Its space group is R-3m.

***

Pm2Ga3AgPt4: optimized geometry, PBE-GGA.

Geometry as POSCAR:
```
Pm2Ga3AgPt4
1.0
4.085 0.000 0.000
0.000 4.085 0.000
0.000 0.000 11.710
Pm Ga Ag Pt
2 3 1 4
Cartesian
0.000 2.043 2.923
2.043 0.000 8.787
0.000 0.000 0.000
0.000 2.043 7.356
2.043 0.000 4.354
2.043 2.043 0.000
0.000 0.000 5.855
0.000 2.043 9.841
2.043 0.000 1.870
2.043 2.043 5.855
```

Computed properties:
The value obtained for the total energy is -5.41 eV/atom. For the total magnetic moment, the calculation gives 0.00 μB/f.u. As for the formation energy from the elements: -0.8545 eV/atom. Its space group is P-4m2.